Record 1
ReF: optimized geometry, GGA-PBE.

Cell lengths 2.835, 7.366, 8.632 Å; angles 90.00, 90.00, 90.00 degrees
Element x y z (fractional)
Re  0.000  0.110  0.167
Re  0.000  0.110  0.833
Re  0.500  0.890  0.667
Re  0.500  0.890  0.333
Re  0.500  0.890  0.000
Re  0.000  0.110  0.500
F  0.000  0.675  0.000
F  0.500  0.325  0.833
F  0.500  0.325  0.167
F  0.000  0.675  0.667
F  0.500  0.325  0.500
F  0.000  0.675  0.333

As for the uncorrected formation energy: -1.009 eV per atom. As for the density of states at the Fermi level: 0.416 states/eV per atom. As for the space group: Pmmn, No. 59.

---

Record 2
MgAgSN2: optimized geometry, GGA-PBE.

Cell lengths 4.066, 4.066, 5.251 Å; angles 90.00, 90.00, 90.00 degrees
Element x y z (fractional)
Mg  0.000  0.000  0.000
Ag  0.500  0.500  0.500
S  0.000  0.000  0.500
N  0.000  0.500  0.000
N  0.500  0.000  0.000

As for the uncorrected formation energy: 1.292 eV per atom. As for the density of states at the Fermi level: 0.574 states/eV per atom. As for the space group: P4/mmm, No. 123.

---

Record 3
Ac2PrY6: optimized geometry, GGA-PBE.

Cell lengths 3.644, 10.067, 10.067 Å; angles 120.00, 90.00, 90.00 degrees
Element x y z (fractional)
Y  0.226  0.657  0.677
Y  0.226  0.020  0.343
Y  0.774  0.980  0.657
Y  0.774  0.343  0.323
Y  0.774  0.677  0.020
Y  0.226  0.323  0.980
Pr  0.500  0.000  0.000
Ac  0.731  0.333  0.667
Ac  0.269  0.667  0.333

The formation enthalpy at 0 K is 0.111 eV/atom. As for the density of states at the Fermi level: 1.848 states/eV per atom. As for the space group: P-3, No. 147.

---

Record 4
LiReSbO6: optimized geometry, GGA-PBE.

Cell lengths 5.300, 5.300, 9.514 Å; angles 90.00, 90.00, 120.00 degrees
Element x y z (fractional)
O  0.363  0.984  0.637
O  0.016  0.379  0.637
O  0.984  0.363  0.137
O  0.016  0.637  0.863
O  0.637  0.621  0.137
O  0.363  0.379  0.863
O  0.637  0.016  0.363
O  0.379  0.016  0.137
O  0.984  0.621  0.363
O  0.621  0.637  0.637
O  0.379  0.363  0.363
O  0.621  0.984  0.863
Sb  0.333  0.667  0.250
Sb  0.667  0.333  0.750
Li  0.000  0.000  0.500
Li  0.000  0.000  0.000
Re  0.333  0.667  0.750
Re  0.667  0.333  0.250

As for the uncorrected formation energy: -1.485 eV per atom. As for the density of states at the Fermi level: 0.434 states/eV per atom. As for the space group: P-31c, No. 163.

---

Record 5
LaY2Rh: optimized geometry, GGA-PBE.

Cell lengths 6.337, 6.337, 6.337 Å; angles 145.80, 128.60, 63.19 degrees
Element x y z (fractional)
Y  0.054  0.054  0.000
Y  0.749  0.249  0.500
Rh  0.249  0.749  0.500
La  0.448  0.448  0.000

The formation enthalpy at 0 K is -0.402 eV/atom. As for the density of states at the Fermi level: 0.944 states/eV per atom. As for the space group: Imm2, No. 44.

---

Record 6
Y2MnSe: optimized geometry, GGA-PBE.

Cell lengths 3.542, 3.542, 7.715 Å; angles 90.00, 90.00, 90.06 degrees
Element x y z (fractional)
Se  0.500  0.500  0.714
Y  0.500  0.500  0.306
Y  0.000  0.000  0.945
Mn  0.000  0.000  0.535

As for the uncorrected formation energy: -0.368 eV per atom. As for the density of states at the Fermi level: 0.924 states/eV per atom. As for the space group: P4mm, No. 99.

---

Record 7
Cs2SnCl7: optimized geometry, GGA-PBE.

Cell lengths 8.172, 8.172, 7.812 Å; angles 58.46, 58.46, 90.00 degrees
Element x y z (fractional)
Cs  0.250  0.750  0.500
Cs  0.750  0.250  0.500
Cl  0.761  0.761  0.479
Cl  0.787  0.213  0.000
Cl  0.239  0.239  0.521
Cl  0.500  0.500  0.000
Cl  0.213  0.213  0.000
Cl  0.787  0.787  0.000
Cl  0.213  0.787  0.000
Sn  0.000  0.000  0.000

As for the uncorrected formation energy: -1.238 eV per atom. As for the density of states at the Fermi level: 0.000 states/eV per atom. As for the space group: I4/mmm, No. 139.

---

Record 8
AcTePbO6: optimized geometry, GGA-PBE.

Cell lengths 6.057, 6.057, 8.946 Å; angles 90.00, 90.00, 120.00 degrees
Element x y z (fractional)
O  0.676  0.608  0.128
O  0.676  0.068  0.372
O  0.324  0.932  0.628
O  0.392  0.068  0.128
O  0.608  0.932  0.872
O  0.068  0.676  0.872
O  0.932  0.324  0.128
O  0.324  0.392  0.872
O  0.932  0.608  0.372
O  0.068  0.392  0.628
O  0.392  0.324  0.372
O  0.608  0.676  0.628
Te  0.333  0.667  0.750
Te  0.667  0.333  0.250
Ac  0.667  0.333  0.750
Ac  0.333  0.667  0.250
Pb  0.000  0.000  0.000
Pb  0.000  0.000  0.500

As for the uncorrected formation energy: -1.579 eV per atom. As for the density of states at the Fermi level: 0.531 states/eV per atom. As for the space group: P-31c, No. 163.

---

Record 9
CaCeTmMg: optimized geometry, GGA-PBE.

Cell lengths 5.597, 5.597, 5.597 Å; angles 60.00, 60.00, 60.00 degrees
Element x y z (fractional)
Ca  0.250  0.250  0.250
Ce  0.750  0.750  0.750
Tm  0.000  0.000  0.000
Mg  0.500  0.500  0.500

The formation enthalpy at 0 K is 0.172 eV/atom. As for the density of states at the Fermi level: 2.294 states/eV per atom. As for the space group: F-43m, No. 216.

---

Record 10
Cu2Ir: optimized geometry, GGA-PBE.

Cell lengths 5.237, 3.772, 7.888 Å; angles 90.00, 90.00, 90.00 degrees
Element x y z (fractional)
Ir  0.881  0.750  0.082
Ir  0.381  0.750  0.418
Ir  0.119  0.250  0.918
Ir  0.619  0.250  0.582
Cu  0.881  0.750  0.414
Cu  0.621  0.250  0.246
Cu  0.619  0.250  0.914
Cu  0.379  0.750  0.754
Cu  0.879  0.750  0.746
Cu  0.121  0.250  0.254
Cu  0.119  0.250  0.586
Cu  0.381  0.750  0.086

The formation enthalpy at 0 K is 0.156 eV/atom. As for the density of states at the Fermi level: 1.207 states/eV per atom. As for the space group: Pnma, No. 62.

---

Let's list magnetic moment in order: 0.0 4.4 0.0 0.0 0.0 4.1 1.0 0.0 1.2 0.0 Bohr magnetons per cell.